# 1
Here is a relaxed structure of Pr5HoP6 from the Alexandria database. Energies are from PBE-GGA. Values from VASP.

Computed properties:
**Total moment**: 0.000 μB/f.u.
**E_form**: -1522 meV per atom
**V**: 307.69 Å³/cell
**E**: -6.60 eV per atom
**SG**: No. 12

Cell and atoms, written as Quantum ESPRESSO input:
```
&SYSTEM
  ibrav = 0, nat = 12, ntyp = 3
/
ATOMIC_SPECIES
P 30.97 P.upf
Pr 140.91 Pr.upf
Ho 164.93 Ho.upf
CELL_PARAMETERS angstrom
-2.2994 4.7412 -4.9406
-7.1501 0.8375 0.6060
-2.6836 5.0877 4.3688
ATOMIC_POSITIONS crystal
P 0.7546 0.0817 0.3266
P 0.2454 0.5917 0.3266
P 0.2462 0.2444 0.0000
P 0.7538 0.7556 0.0000
P 0.7546 0.4083 0.6734
P 0.2454 0.9183 0.6734
Pr 0.5000 0.8324 0.3352
Pr 0.5000 0.5000 0.0000
Pr 0.5000 0.1676 0.6648
Pr 0.0000 0.3337 0.3327
Pr 0.0000 0.6663 0.6673
Ho 0.0000 0.0000 0.0000
```

# 2
Here is a relaxed structure of PrHo2P from the Alexandria database. Energies are from PBE-GGA. Values from VASP.

Computed properties:
**Total moment**: 0.001 μB/f.u.
**E_form**: -551 meV per atom
**V**: 124.42 Å³/cell
**E**: -5.39 eV per atom
**SG**: No. 166

Cell and atoms, written as Quantum ESPRESSO input:
```
&SYSTEM
  ibrav = 0, nat = 4, ntyp = 3
/
ATOMIC_SPECIES
P 30.97 P.upf
Ho 164.93 Ho.upf
Pr 140.91 Pr.upf
CELL_PARAMETERS angstrom
3.7307 0.0000 0.0000
1.8654 3.2309 0.0000
1.8654 1.0770 10.3217
ATOMIC_POSITIONS crystal
P 0.5000 0.5000 0.5000
Ho 0.8856 0.8856 0.3433
Ho 0.1144 0.1144 0.6567
Pr 0.0000 0.0000 0.0000
```

# 3
Here is a relaxed structure of PrHoP2 from the Alexandria database. Energies are from PBE-GGA. Values from VASP.

Computed properties:
**Total moment**: 0.000 μB/f.u.
**E_form**: -1371 meV per atom
**V**: 99.38 Å³/cell
**E**: -6.42 eV per atom
**SG**: No. 160
**Polymorph energy (0 for the lowest one)**: 0.181 eV per atom

Cell and atoms, written as Quantum ESPRESSO input:
```
&SYSTEM
  ibrav = 0, nat = 4, ntyp = 3
/
ATOMIC_SPECIES
Pr 140.91 Pr.upf
P 30.97 P.upf
Ho 164.93 Ho.upf
CELL_PARAMETERS angstrom
-2.4661 -0.5821 3.1706
-1.5029 -3.6947 0.7505
4.1837 -2.8487 5.3288
ATOMIC_POSITIONS crystal
Pr 0.6694 0.6694 0.9917
P 0.2465 0.2465 0.2605
P 0.0862 0.0862 0.7414
Ho 0.4979 0.4979 0.5064
```